Record 1
Entry from the Alexandria database: TmV2Ga7 after structural relaxation (GGA-PBE).

```
10
Lattice="-1.455 -3.078 2.125 7.154 -0.724 3.852 -6.352 4.580 2.284" Properties=species:S:1:pos:R:3 pbc="T T T"
Tm 0.000 0.000 0.000
V 2.095 -0.561 4.411
V -2.748 1.340 3.849
Ga 4.248 0.418 3.514
Ga -3.446 3.439 2.621
Ga -2.322 -0.177 1.942
Ga 1.669 0.956 6.318
Ga 1.150 -1.541 2.345
Ga -1.803 2.320 5.915
Ga -0.327 0.390 4.130
```

Properties
- Formation enthalpy at 0 K: 227 meV per atom
- Crystal system: orthorhombic
- Magnetization: 0.259 μB per atom
- SG: Cmmm


Record 2
Entry from the Alexandria database: VCuNiPd after structural relaxation (GGA-PBE).

```
4
Lattice="4.195 0.000 0.000 2.097 3.633 0.000 2.097 1.211 3.425" Properties=species:S:1:pos:R:3 pbc="T T T"
Ni 0.000 0.000 0.000
Cu 2.097 1.211 0.856
Pd 4.195 2.422 1.712
V 6.292 3.633 2.569
```

Properties
- Formation enthalpy at 0 K: -31 meV per atom
- Crystal system: cubic
- Magnetization: 0.337 μB per atom
- SG: F-43m


Record 3
Entry from the Alexandria database: CaNi2Br after structural relaxation (GGA-PBE).

```
4
Lattice="-2.798 -1.675 1.764 2.044 0.169 3.403 -2.116 4.631 1.040" Properties=species:S:1:pos:R:3 pbc="T T T"
Ni 0.000 0.000 0.000
Ni -0.377 -0.753 2.583
Ca -0.036 2.400 2.221
Br -2.457 1.478 1.402
```

Properties
- Crystal system: orthorhombic
- Excess energy over the best structure of this formula in the dataset: 340.9 meV/atom
- Magnetization: 0.267 μB per atom
- SG: Pmmm


Record 4
Entry from the Alexandria database: Ca2Ag3Sn5 after structural relaxation (GGA-PBE).

```
20
Lattice="4.641 0.000 -0.791 0.000 7.758 0.000 -0.005 0.000 13.986" Properties=species:S:1:pos:R:3 pbc="T T T"
Ca 2.223 5.792 13.050
Ca 0.799 5.654 4.692
Ca 3.836 1.775 8.503
Ca 2.412 1.913 0.145
Ag 3.586 5.666 7.034
Ag 2.810 4.074 2.477
Ag 0.219 7.397 1.286
Ag 1.049 1.786 6.161
Ag 4.416 3.517 11.909
Ag 1.826 0.195 10.718
Sn 1.851 3.128 10.865
Sn 1.357 4.052 7.964
Sn 3.279 0.173 5.231
Sn 0.553 1.922 3.247
Sn 1.363 7.286 8.003
Sn 4.408 0.530 11.858
Sn 3.272 3.407 5.192
Sn 4.082 5.802 9.949
Sn 0.228 4.409 1.337
Sn 2.785 7.007 2.330
```

Properties
- Formation enthalpy at 0 K: -281 meV per atom
- Crystal system: orthorhombic
- Magnetization: 0.000 μB per atom
- SG: Cmc2_1


Record 5
Entry from the Alexandria database: Li4Tm3ZrSe8 after structural relaxation (GGA-PBE).

```
16
Lattice="7.919 0.000 0.000 0.000 7.942 0.008 -3.960 -3.955 5.603" Properties=species:S:1:pos:R:3 pbc="T T T"
Li 3.960 0.000 0.000
Li 1.980 -1.977 2.801
Li 0.000 0.000 0.000
Li -1.980 -1.977 2.801
Tm 3.960 3.971 0.004
Tm 1.980 1.994 2.805
Tm -1.980 1.994 2.805
Zr 0.000 3.971 0.004
Se 1.936 5.946 0.030
Se 0.000 4.012 2.770
Se 0.000 -0.012 2.789
Se 5.983 5.946 0.030
Se -2.023 -1.959 5.581
Se 3.960 3.999 2.822
Se 3.960 -0.025 2.841
Se 2.023 -1.959 5.581
```

Properties
- Crystal system: trigonal
- Magnetization: 0.001 μB per atom
- SG: R-3m
- Raw total energy: -5.176 eV per atom


Record 6
Entry from the Alexandria database: Ca8Zn2Cu after structural relaxation (GGA-PBE).

```
11
Lattice="-2.440 -4.670 0.468 6.035 -2.862 2.907 -3.886 5.722 6.946" Properties=species:S:1:pos:R:3 pbc="T T T"
Ca -0.783 1.157 7.462
Ca 2.963 -4.005 5.381
Ca -0.080 -2.311 6.424
Ca -4.764 0.252 7.580
Ca -0.211 0.500 3.897
Ca -3.254 2.195 4.940
Ca 0.493 -2.967 2.858
Ca 4.473 -2.063 2.741
Zn -2.735 -1.008 5.576
Zn 2.445 -0.802 4.744
Cu -1.220 -2.335 0.234
```

Properties
- Formation enthalpy at 0 K: -78 meV per atom
- Crystal system: monoclinic
- Excess energy over the best structure of this formula in the dataset: 0.0 meV/atom
- Magnetization: 0.000 μB per atom
- SG: C2/m